VASP calculation (PBE) on a relaxed Nb2TeMo crystal.

Output
uncorrected energy	-8.32	eV per atom
magnetic moment	0.001	μB per atom

Lattice parameters (Å, degrees): 6.6103 6.6103 6.6103 90.00 90.00 90.00
Last column: nearest neighbours and their distance in Å.
Space group F-43m (No. 216)
Symmetry-distinct sites (fractional):
Nb (0.0000, 0.0000, 0.0000) x4  4 Nb 2.86, 4 Mo 2.86
Nb (0.2500, 0.2500, 0.2500) x4  4 Nb 2.86, 4 Te 2.86
Te (0.0000, 0.0000, 0.5000) x4  4 Nb 2.86, 4 Mo 2.86
Mo (0.2500, 0.2500, 0.7500) x4  4 Nb 2.86, 4 Te 2.86